First-principles (GGA-PBE) data for TbSm4Ho2Mg after structural relaxation, as listed in Alexandria via LeMat-Bulk.

## Properties
calculated formation energy: 0.011 eV/atom
space group: P4/mmm (123)
electronic total energy: -34.17 eV for the cell shown
volume: 252 Å³/f.u.
ρ: 7.3 Mg/m³

a = 5.0234 Å, b = 5.0311 Å, c = 11.1672 Å
α = 63.22°, β = 90.00°, γ = 90.00°
Last column: nearest neighbours and their distance in Å.
Fractional coordinates of all 8 atoms:
Ho (0.5000, 0.0000, 0.5000)  4 Tb 3.55, 8 Sm 3.57
Ho (0.0000, 0.0000, 0.0000)  8 Sm 3.51, 4 Mg 3.55
Sm (0.5000, 0.7537, 0.2459)  4 Ho 3.51-3.57, 2 Mg 3.51, 4 Sm 3.55-3.56, 2 Tb 3.57
Sm (0.0000, 0.7460, 0.7541)  2 Mg 3.51, 4 Ho 3.51-3.57, 4 Sm 3.55-3.56, 2 Tb 3.57
Sm (0.0000, 0.2540, 0.2459)  2 Mg 3.51, 4 Ho 3.51-3.57, 4 Sm 3.55-3.56, 2 Tb 3.57
Sm (0.5000, 0.2463, 0.7541)  4 Ho 3.51-3.57, 2 Mg 3.51, 4 Sm 3.55-3.56, 2 Tb 3.57
Tb (0.0000, 0.5000, 0.5000)  4 Ho 3.55, 8 Sm 3.57
Mg (0.5000, 0.5000, 0.0000)  8 Sm 3.51, 4 Ho 3.55